Record 1
PaFeNiSn | GGA-PBE | relaxed

The structure in CIF format:
```
data_PaFeNiSn
_chemical_formula_sum 'Pa4 Fe4 Ni4 Sn4'
_cell_length_a 6.555
_cell_length_b 6.555
_cell_length_c 6.555
_cell_angle_alpha 90.00
_cell_angle_beta 90.00
_cell_angle_gamma 90.00
_space_group_name_H-M_alt 'F -4 3 m'
_space_group_IT_number 216
_space_group_name_Hall 'F -4 2 3'
loop_
_atom_site_label
_atom_site_fract_x
_atom_site_fract_y
_atom_site_fract_z
_atom_site_occupancy
Pa1 0.000 0.000 0.000 1
Fe1 0.250 0.250 0.250 1
Ni1 0.250 0.250 0.750 1
Sn1 0.000 0.000 0.500 1
```

The total energy is -7.1255 eV/atom.

=====

Record 2
SrPrIn4 | GGA-PBE | relaxed

The structure in CIF format:
```
data_SrPrIn4
_chemical_formula_sum 'Sr1 Pr1 In4'
_cell_length_a 3.880
_cell_length_b 5.051
_cell_length_c 8.806
_cell_angle_alpha 90.00
_cell_angle_beta 90.01
_cell_angle_gamma 90.00
_space_group_name_H-M_alt 'P 1 2/m 1'
_space_group_IT_number 10
_space_group_name_Hall '-P 2y'
loop_
_atom_site_label
_atom_site_fract_x
_atom_site_fract_y
_atom_site_fract_z
_atom_site_occupancy
Sr1 0.000 0.000 0.000 1
Pr1 0.000 0.500 0.500 1
In1 0.494 0.000 0.337 1
In2 0.495 0.500 0.830 1
```

The total energy is -3.3275 eV/atom.

=====

Record 3
LiGa2Te2 | GGA-PBE | relaxed

The structure in CIF format:
```
data_LiGa2Te2
_chemical_formula_sum 'Li2 Ga4 Te4'
_cell_length_a 5.499
_cell_length_b 5.499
_cell_length_c 8.569
_cell_angle_alpha 90.00
_cell_angle_beta 90.00
_cell_angle_gamma 90.00
_space_group_name_H-M_alt 'I 4/m m m'
_space_group_IT_number 139
_space_group_name_Hall '-I 4 2'
loop_
_atom_site_label
_atom_site_fract_x
_atom_site_fract_y
_atom_site_fract_z
_atom_site_occupancy
Li1 0.000 0.000 0.000 1
Ga1 0.000 0.000 0.350 1
Te1 0.000 0.500 0.250 1
```

The uncorrected formation energy is -0.298 eV/atom.

=====

Record 4
Pr3Sm4Rh4 | GGA-PBE | relaxed

The structure in CIF format:
```
data_Pr3Sm4Rh4
_chemical_formula_sum 'Pr6 Sm8 Rh8'
_cell_length_a 4.674
_cell_length_b 7.817
_cell_length_c 15.550
_cell_angle_alpha 90.00
_cell_angle_beta 90.00
_cell_angle_gamma 90.00
_space_group_name_H-M_alt 'I m m m'
_space_group_IT_number 71
_space_group_name_Hall '-I 2 2'
loop_
_atom_site_label
_atom_site_fract_x
_atom_site_fract_y
_atom_site_fract_z
_atom_site_occupancy
Pr1 0.000 0.000 0.000 1
Pr2 0.000 0.500 0.100 1
Sm1 0.000 0.286 0.331 1
Rh1 0.000 0.000 0.208 1
Rh2 0.000 0.185 0.500 1
```

The total energy is -6.1928 eV/atom.

=====

Record 5
Pm2NdHo6 | GGA-PBE | relaxed

The structure in CIF format:
```
data_Pm2NdHo6
_chemical_formula_sum 'Pm6 Nd3 Ho18'
_cell_length_a 7.4092
_cell_length_b 7.4092
_cell_length_c 18.9781
_cell_angle_alpha 90.00
_cell_angle_beta 90.00
_cell_angle_gamma 120.00
_space_group_name_H-M_alt 'R 3 m'
_space_group_IT_number 160
_space_group_name_Hall 'R 3 -2"'
loop_
_atom_site_label
_atom_site_fract_x
_atom_site_fract_y
_atom_site_fract_z
_atom_site_occupancy
Pm1 0.0000 0.0000 0.0000 1
Pm2 0.0000 0.0000 0.1754 1
Nd1 0.0000 0.0000 0.7360 1
Ho1 0.0167 0.5083 0.1882 1
Ho2 0.0452 0.5226 0.9912 1
```

The total energy is -4.3028 eV/atom.

=====

Record 6
TaMo | GGA-PBE | relaxed

The structure in CIF format:
```
data_TaMo
_chemical_formula_sum 'Ta8 Mo8'
_cell_length_a 6.499
_cell_length_b 9.134
_cell_length_c 4.555
_cell_angle_alpha 90.00
_cell_angle_beta 90.00
_cell_angle_gamma 90.00
_space_group_name_H-M_alt 'C c c m'
_space_group_IT_number 66
_space_group_name_Hall '-C 2 2c'
loop_
_atom_site_label
_atom_site_fract_x
_atom_site_fract_y
_atom_site_fract_z
_atom_site_occupancy
Ta1 0.130 0.123 0.000 1
Mo1 0.121 0.374 0.500 1
```

The total energy is -11.4578 eV/atom.

=====

In order of appearance, mass density = 11.0 6.6 5.1 8.4 7.9 13.6 g/cm3.
In order of appearance, magnetization = 1.73 0.00 0.00 0.00 0.00 0.00 μB per formula unit.